Record 1
7
Lattice="-2.413 -4.573 -2.824 1.869 4.087 -1.279 10.986 -4.910 1.242" Properties=species:S:1:pos:R:3 comment="BiS5Br (PBE-GGA, optimized geometry)" final_energy_ev_per_atom=-3.811 sg="No. 5" e_form_raw_kj_per_mol_atoms=-7 magmom_total_mub_per_atom=0.000 pbc="T T T"
Bi 5.631 -5.575 -1.929
S 8.651 -3.059 -0.803
S -0.173 -4.604 -2.521
S 7.812 -4.859 -0.441
Br 4.947 -2.753 -2.446
S 1.368 -1.704 -0.575
S 1.608 1.719 -0.691


Record 2
5
Lattice="-2.951 -2.079 1.823 0.601 -3.085 -2.545 2.698 -1.586 2.560" Properties=species:S:1:pos:R:3 comment="PdC3S (PBE-GGA, optimized geometry)" final_energy_ev_per_atom=-4.533 relative_energy_ev_per_atom=0.469 sg="No. 221" e_form_raw_kj_per_mol_atoms=276 magmom_total_mub_per_atom=0.293 pbc="T T T"
S 0.174 -3.375 0.919
C 1.349 -0.793 1.280
C -1.476 -1.039 0.911
C 0.301 -1.542 -1.272
Pd 0.000 0.000 0.000


Record 3
5
Lattice="-3.133 2.831 -1.137 -1.938 -3.106 -2.392 -2.356 -1.210 3.480" Properties=species:S:1:pos:R:3 comment="SrEuO3 (PBE-GGA, optimized geometry)" final_energy_ev_per_atom=-7.626 sg="No. 221" e_form_raw_kj_per_mol_atoms=-218 magmom_total_mub_per_atom=1.000 pbc="T T T"
Sr 0.000 0.000 0.000
O -2.147 -2.158 0.544
O -2.536 -0.138 -1.764
O -2.745 0.810 1.172
Eu -3.714 -0.742 -0.024


Record 4
4
Lattice="3.439 0.000 0.000 0.000 3.825 0.000 0.000 0.000 6.605" Properties=species:S:1:pos:R:3 comment="Zn2PBr (PBE-GGA, optimized geometry)" final_energy_ev_per_atom=-2.159 relative_energy_ev_per_atom=0.702 sg="No. 47" e_form_raw_kj_per_mol_atoms=24 magmom_total_mub_per_atom=0.000 pbc="T T T"
Zn 0.000 1.912 3.303
P 1.719 0.000 3.303
Br 1.719 1.912 0.000
Zn 0.000 0.000 0.000